KFeBiO3 | GGA+U | relaxed

Properties
* total energy: -126.92 eV for the cell shown

Geometry as CIF:
```
data_KFeBiO3
_chemical_formula_sum 'K4 Fe4 Bi4 O12'
_cell_length_a 4.822
_cell_length_b 12.881
_cell_length_c 7.770
_cell_angle_alpha 90.00
_cell_angle_beta 90.00
_cell_angle_gamma 90.00
_space_group_name_H-M_alt 'C m c m'
_space_group_IT_number 63
_space_group_name_Hall '-C 2c 2'
loop_
_atom_site_label
_atom_site_fract_x
_atom_site_fract_y
_atom_site_fract_z
K1 0.000 0.239 0.250
Fe1 0.000 0.000 0.000
Bi1 0.000 0.491 0.750
O1 0.000 0.008 0.250
O2 0.000 0.384 0.541
```